Tb2SmPaRu2: optimized geometry, PBE-GGA.

Computed properties:
DOS at the Fermi energy, states/eV/f.u.: 5.117
E_form, eV/atom: -0.2694
Magnetic moment, Bohr magnetons per cell: 0.00

Cell lengths 6.7507, 7.0409, 8.3603 Å; angles 114.90, 113.81, 90.00 degrees
Last column: nearest neighbours and their distance in Å.
Positions (direct):
Tb: 0.6994 0.8808 0.3987  2 Ru 2.82-3.00
Tb: 0.1994 0.5179 0.3987  2 Ru 2.82-3.00
Tb: 0.8006 0.4821 0.6013  2 Ru 2.82-3.00
Tb: 0.3006 0.1192 0.6013  2 Ru 2.82-3.00
Sm: 0.2500 0.0000 0.0000  4 Ru 3.03, 2 Sm 3.38
Sm: 0.7500 0.0000 0.0000  4 Ru 3.03, 2 Sm 3.38
Pa: 0.7500 0.5000 0.0000  4 Ru 2.60
Pa: 0.2500 0.5000 0.0000  4 Ru 2.60
Ru: 0.3982 0.5994 0.7964  2 Pa 2.60, 1 Tb 2.82
Ru: 0.6018 0.4006 0.2036  2 Pa 2.60, 1 Tb 2.82
Ru: 0.1018 0.8030 0.2036  2 Pa 2.60, 1 Tb 2.82
Ru: 0.8982 0.1970 0.7964  2 Pa 2.60, 1 Tb 2.82